[1]
TaHRh (GGA-PBE, optimized geometry); symmetry = P-1 (2); energy above the most stable polymorph in this dataset = 0.0000 eV/atom
1.0
-2.4446 0.3347 1.5773
2.2865 -2.0897 3.9677
2.2800 4.3861 -0.1064
H Rh Ta
2 2 2
Cartesian
1.1428 0.8752 4.2918
0.9790 1.7560 1.1468
2.2760 2.1323 3.0670
-0.1542 0.4989 2.3716
-0.0408 3.3065 1.9565
2.1627 -0.6753 3.4821

[2]
TaHRh3 (GGA-PBE, optimized geometry); symmetry = R-3 (148); energy above the most stable polymorph in this dataset = 0.4309 eV/atom
1.0
2.9182 0.0000 6.2703
-1.4591 2.5272 6.2703
-1.4591 -2.5272 6.2703
H Rh Ta
2 6 2
Cartesian
0.0000 0.0000 1.3043
0.0000 0.0000 17.5067
-0.0063 -1.6499 8.2086
-1.4256 0.8304 8.2086
-1.4320 -0.8194 10.6025
1.4256 -0.8304 10.6025
0.0063 1.6499 10.6025
1.4320 0.8194 8.2086
0.0000 0.0000 6.2037
0.0000 0.0000 12.6073

[3]
Ta3H12Rh5 (GGA-PBE, optimized geometry); symmetry = Ia-3d (230); uncorrected energy = -5.61 eV per atom
1.0
-2.2534 5.8440 7.1517
-7.6377 -1.3824 -5.4893
2.9238 -8.3336 3.5186
Ta Rh H
12 20 48
Cartesian
-4.1887 2.8229 3.7451
-7.3345 3.0351 2.5806
-4.7459 -4.0537 0.7641
-0.4216 -1.8369 2.4213
-2.1955 2.8574 6.4512
-4.8876 -0.7559 0.1307
-2.0797 -3.1160 5.0503
-4.7718 -6.7292 -1.2702
-6.5456 -2.0350 2.7598
-2.2214 0.1819 4.4170
0.3672 -6.9069 2.6004
-2.7786 -6.6948 1.4359
-2.4149 -1.8713 -0.2849
-3.8188 -0.6912 -2.7447
0.0000 0.0000 0.0000
-2.3890 0.8042 1.7494
0.3352 -1.2448 5.3352
-4.9455 2.2308 0.8312
-4.9135 -3.4314 -1.9035
-0.0864 -3.0816 7.7564
-5.3672 0.3940 3.2525
0.3931 -4.2314 4.6347
-7.3604 0.3596 0.5463
-3.4836 -1.9359 2.5905
-1.1267 2.9220 3.5759
1.4619 -4.1668 1.7593
-1.6001 -4.2658 1.9286
-6.8808 -0.7903 -2.5754
-2.3569 -4.8580 -0.9853
-2.0538 -0.4405 7.0846
-4.5783 -4.6761 3.4316
-4.5524 -2.0006 5.4659
-2.5019 3.5893 4.5829
-3.7416 -2.2905 0.8133
-4.1046 2.7000 5.7695
-2.5218 1.7935 3.2142
-4.8567 -3.1465 2.5804
-6.1052 3.3379 4.1717
-5.4959 -2.6038 -0.4482
-6.7885 -1.9017 -3.9531
-6.6086 -3.4665 1.3171
-5.5916 1.9959 2.5277
-4.1195 0.9009 4.4050
-8.7231 3.1687 1.1013
-4.1856 -4.7993 -1.0428
-3.7555 0.8558 0.6216
-6.1207 -3.8162 -3.1431
-0.2613 -2.6214 4.2865
-0.8316 -1.5669 0.4517
-5.8679 1.0012 -0.1627
-8.0485 1.2567 1.9115
-3.2351 -0.4836 -1.0222
-5.7857 -5.6852 0.1497
-4.9497 -0.9314 2.1520
-6.8078 -0.3896 3.9252
-1.6179 -3.5279 6.9835
-2.0176 -2.9405 3.0290
-0.1594 -3.4823 1.2559
-5.3493 -0.3440 -1.8025
1.0812 -5.1285 3.2695
-1.1815 1.8133 5.0313
-3.7322 -3.3882 6.2033
-1.0994 -4.8731 5.3438
-6.7059 -1.2505 0.8946
-6.1357 -2.3050 4.7294
-0.8466 -0.0557 8.3241
-2.7817 0.9274 6.2238
1.7559 -7.0406 4.0797
-3.2117 -4.7277 4.5594
-0.3587 -0.4054 3.8639
-1.3756 -5.8678 2.6534
-2.8478 -4.7728 0.7761
-0.1788 -1.9702 9.1342
-1.4713 -1.2681 5.6292
-4.4455 -5.6654 1.9668
-0.8620 -7.2098 1.0094
-2.1106 -0.7254 2.6007
-2.8627 -6.5718 -0.5884
-3.2257 -1.5814 4.3677
-4.4654 -7.4611 0.5981

[4]
TaHRh3 (GGA-PBE, optimized geometry); symmetry = Amm2 (38); energy above the most stable polymorph in this dataset = 0.9925 eV/atom
1.0
2.8675 0.0000 0.0000
0.0000 2.7597 -5.8583
0.0000 2.7597 5.8583
H Rh Ta
1 3 1
Cartesian
0.0000 2.7597 0.6005
1.4338 1.4104 0.9330
1.4338 4.1090 0.9330
0.0000 2.7597 2.8693
1.4338 2.7597 4.8805

[5]
TaHRh3 (GGA-PBE, optimized geometry); symmetry = I-4m2 (119); energy above the most stable polymorph in this dataset = 0.5592 eV/atom
1.0
-3.6723 -0.5353 3.6284
1.3906 -4.9544 0.6765
2.1223 -1.3499 5.6609
H Rh Ta
2 6 2
Cartesian
0.0000 0.0000 0.0000
1.1860 -4.5246 4.2449
1.2502 -4.7535 2.4367
2.3762 -5.3906 5.3218
1.6871 -2.9356 4.9866
-0.5695 -5.0187 4.2347
-0.2661 -2.3709 3.0930
0.1066 -4.4687 6.8729
-0.3706 -1.8983 6.7690
-2.3203 -2.7318 4.6727

[6]
TaHRh3 (GGA-PBE, optimized geometry); symmetry = C2/m (12); energy above the most stable polymorph in this dataset = 0.0324 eV/atom
1.0
-0.1991 -3.8364 -2.3324
0.8286 -2.9934 4.7182
-5.1989 1.2408 -1.5978
H Rh Ta
2 6 2
Cartesian
-1.2612 -4.9251 1.9892
-3.7638 -2.3874 2.3549
-3.7367 -2.9799 -3.0522
-2.2129 -3.2608 1.5105
-2.6305 -1.7570 -0.8365
-1.1396 -3.5999 -2.2538
0.3846 -3.8807 2.3087
-0.7220 -5.1038 0.0934
-3.2861 -4.3859 -0.7444
-0.0660 -2.4743 0.0016